# 1
Computed, not measured: a relaxed structure of Li2LaHoHg4 at the GGA-PBE level of DFT.

Output
N(E_F) = 0.74 states/eV per atom
DFT formation energy = -0.445 eV per atom
uncorrected energy = -2.26 eV/atom

Cell: 5.106 5.106 8.919 Å, 73.37 73.37 60.00°
Fractional coordinates of all 8 atoms:
Li (0.753, 0.753, 0.741)
Li (0.247, 0.247, 0.259)
La (0.000, 0.000, 0.000)
Ho (0.500, 0.500, 0.500)
Hg (0.380, 0.380, 0.860)
Hg (0.871, 0.871, 0.386)
Hg (0.129, 0.129, 0.614)
Hg (0.620, 0.620, 0.140)



# 2
Computed, not measured: a relaxed structure of Li3Al at the GGA-PBE level of DFT.

Output
N(E_F) = 0.48 states/eV per atom
DFT formation energy = -0.068 eV per atom
uncorrected energy = -2.44 eV/atom

Cell: 2.987 2.987 7.756 Å, 90.00 90.00 89.96°
Fractional coordinates of all 4 atoms:
Al (0.000, 0.000, 0.000)
Li (0.500, 0.500, 0.768)
Li (0.000, 0.000, 0.500)
Li (0.500, 0.500, 0.232)



What is the formula in the second record?
Li3Al



What is the N(E_F) in the first record?
0.74 states/eV per atom



What is the formula in the first record?
Li2LaHoHg4



Among the records above, which one has the highest N(E_F)?
Li2LaHoHg4